[1]
Crystalline KErSn at its relaxed geometry, computed with PBE.

Cell: 5.3370 5.3370 8.1968 Å, 90.00 90.00 90.00°
Fractional positions:
K: 0.0000 0.5000 0.8684
K: 0.5000 0.0000 0.1316
Sn: 0.0000 0.5000 0.3119
Sn: 0.5000 0.0000 0.6881
Er: 0.5000 0.5000 0.5000
Er: 0.0000 0.0000 0.5000

Values from the calculation:
The calculation puts the calculated formation energy at -1.1 eV per formula unit. The space group is P4/nmm (129).

[2]
Crystalline KEr2Sn3Te6 at its relaxed geometry, computed with PBE.

Cell: 4.3899 9.6338 10.0409 Å, 100.58 102.63 90.00°
Fractional positions:
K: 0.5000 0.0000 0.0000
Er: 0.8294 0.6655 0.6588
Er: 0.1706 0.3345 0.3412
Sn: 0.5000 0.5000 0.0000
Sn: 0.8396 0.1701 0.6793
Sn: 0.1604 0.8299 0.3207
Te: 0.3180 0.8863 0.6360
Te: 0.6673 0.5651 0.3347
Te: 0.6820 0.1137 0.3640
Te: 0.0149 0.2751 0.0297
Te: 0.9851 0.7249 0.9703
Te: 0.3327 0.4349 0.6653

Values from the calculation:
As for the formation energy from raw total energies: -723.5 meV per atom. Its density of states at the Fermi level is 0.33 states/eV/atom. The space group is C2/m (12).

[3]
Crystalline K4Er3SnTe8 at its relaxed geometry, computed with PBE.

Cell: 8.9710 9.7308 8.9717 Å, 117.49 120.00 90.00°
Fractional positions:
K: 0.5000 0.0000 0.0000
K: 0.5000 0.0000 0.5000
K: 0.0000 0.0000 0.0000
K: 0.0000 0.0000 0.5000
Er: 0.5000 0.5000 0.0000
Er: 0.5000 0.5000 0.5000
Er: 0.0000 0.5000 0.5000
Sn: 0.0000 0.5000 0.0000
Te: 0.2361 0.7046 0.9690
Te: 0.2360 0.7046 0.4720
Te: 0.2641 0.2926 0.5281
Te: 0.7329 0.7046 0.9690
Te: 0.2671 0.2954 0.0310
Te: 0.7359 0.7074 0.4719
Te: 0.7640 0.2954 0.5280
Te: 0.7639 0.2954 0.0310

Values from the calculation:
As for the formation energy from raw total energies: -1168.7 meV per atom. Its density of states at the Fermi level is 0.11 states/eV/atom. The space group is C2/m (12).

[4]
Crystalline K3Er3SnTe8 at its relaxed geometry, computed with PBE.

Cell: 8.7691 8.7838 9.8624 Å, 116.52 89.99 119.96°
Fractional positions:
K: 0.0000 0.0000 0.0000
K: 0.0000 0.5000 0.0000
K: 0.5000 0.5000 0.0000
Er: 0.5000 0.0000 0.5000
Er: 0.5000 0.5000 0.5000
Er: 0.0000 0.5000 0.5000
Sn: 0.0000 0.0000 0.5000
Te: 0.2644 0.5287 0.2930
Te: 0.7356 0.4713 0.7070
Te: 0.7666 0.5332 0.2966
Te: 0.2334 0.4668 0.7034
Te: 0.7668 0.0299 0.2968
Te: 0.2332 0.9701 0.7032
Te: 0.2630 0.0299 0.2968
Te: 0.7370 0.9701 0.7032

Values from the calculation:
As for the formation energy from raw total energies: -1101.6 meV per atom. Its density of states at the Fermi level is 0.24 states/eV/atom. The space group is C2/m (12).

[5]
Crystalline K3Er2SnTe6 at its relaxed geometry, computed with PBE.

Cell: 7.7806 7.7806 8.6342 Å, 98.63 98.63 120.00°
Fractional positions:
K: 0.1653 0.8347 0.5000
K: 0.8347 0.1653 0.5000
K: 0.5000 0.5000 0.5000
Er: 0.3332 0.6668 0.0000
Er: 0.6668 0.3332 0.0000
Sn: 0.0000 0.0000 0.0000
Te: 0.9315 0.5956 0.7946
Te: 0.7323 0.7323 0.2051
Te: 0.0685 0.4044 0.2054
Te: 0.5956 0.9315 0.7946
Te: 0.2677 0.2677 0.7949
Te: 0.4044 0.0685 0.2054

Values from the calculation:
As for the formation energy from raw total energies: -1092.0 meV per atom. Its density of states at the Fermi level is 0.33 states/eV/atom. The space group is C2/m (12).

[6]
Crystalline KTb3Er2Te6 at its relaxed geometry, computed with PBE.

Cell: 4.3722 8.9645 9.8956 Å, 103.42 102.76 90.00°
Fractional positions:
K: 0.5000 0.0000 0.0000
Tb: 0.5000 0.5000 0.0000
Tb: 0.8413 0.1834 0.6825
Tb: 0.1587 0.8166 0.3175
Er: 0.8324 0.6584 0.6647
Er: 0.1676 0.3416 0.3353
Te: 0.3247 0.9114 0.6494
Te: 0.6674 0.5793 0.3347
Te: 0.6753 0.0886 0.3506
Te: 0.0052 0.2648 0.0104
Te: 0.9948 0.7352 0.9896
Te: 0.3326 0.4207 0.6653

Values from the calculation:
As for the formation energy from raw total energies: -1277.5 meV per atom. Its density of states at the Fermi level is 0.39 states/eV/atom. The space group is C2/m (12).